Record 1
{
  "formula": "CdIr2Os",
  "functional": "PBE-GGA",
  "state": "optimized geometry",
  "crystal_system": "tetragonal",
  "ef_ev_per_fu": 2.21,
  "lattice": [[-1.228, -1.791, -3.232], [-1.659, -2.896, 2.235], [-3.432, 2.081, 0.150]],
  "species": ["Ir", "Ir", "Os", "Cd"],
  "fractional_positions": [[0.000, 0.000, 0.000], [0.000, 0.500, 0.500], [0.500, 0.500, 0.000], [0.500, 0.000, 0.500]]
}

Record 2
{
  "formula": "MnTlTe2",
  "functional": "PBE-GGA",
  "state": "optimized geometry",
  "crystal_system": "monoclinic",
  "e_form_raw_mev_per_atom": -159,
  "lattice": [[8.010, 0.000, -0.255], [2.951, 5.483, -3.114], [-2.951, 5.483, 3.114]],
  "species": ["Tl", "Tl", "Te", "Te", "Te", "Te", "Mn", "Mn"],
  "fractional_positions": [[0.750, 0.885, 0.385], [0.250, 0.115, 0.615], [0.147, 0.190, 0.055], [0.353, 0.555, 0.690], [0.853, 0.810, 0.945], [0.647, 0.445, 0.310], [0.750, 0.263, 0.763], [0.250, 0.737, 0.237]]
}

Record 3
{
  "formula": "Li5TlIn2Hg2",
  "functional": "PBE-GGA",
  "state": "optimized geometry",
  "crystal_system": "tetragonal",
  "ef_ev_per_fu": -2.21,
  "lattice": [[-0.594, -1.572, 3.444], [-1.140, -9.357, -4.468], [10.242, -1.717, 0.983]],
  "species": ["Li", "Li", "Li", "Li", "Li", "Li", "Li", "Li", "Li", "Li", "Tl", "Tl", "In", "In", "In", "In", "Hg", "Hg", "Hg", "Hg"],
  "fractional_positions": [[0.500, 0.198, 0.069], [0.500, 0.802, 0.931], [0.500, 0.069, 0.802], [0.500, 0.698, 0.431], [0.500, 0.931, 0.198], [0.500, 0.302, 0.569], [0.500, 0.569, 0.698], [0.500, 0.431, 0.302], [0.500, 0.500, 0.000], [0.500, 0.000, 0.500], [0.000, 0.000, 0.000], [0.000, 0.500, 0.500], [0.000, 0.667, 0.167], [0.000, 0.333, 0.833], [0.000, 0.167, 0.333], [0.000, 0.833, 0.667], [0.000, 0.129, 0.629], [0.000, 0.871, 0.371], [0.000, 0.629, 0.871], [0.000, 0.371, 0.129]]
}

Record 4
{
  "formula": "YErIr2",
  "functional": "PBE-GGA",
  "state": "optimized geometry",
  "crystal_system": "cubic",
  "e_above_lowest_polymorph_ev_per_atom": 0.007,
  "ef_ev_per_fu": -3.30,
  "lattice": [[-2.547, 3.291, -2.454], [-3.090, -1.408, -3.436], [-4.760, 0.399, 0.721]],
  "species": ["Y", "Ir", "Ir", "Er"],
  "fractional_positions": [[0.500, 0.500, 0.500], [0.250, 0.250, 0.250], [0.750, 0.750, 0.750], [0.000, 0.000, 0.000]]
}

Record 5
{
  "formula": "Ta5Ag",
  "functional": "PBE-GGA",
  "state": "optimized geometry",
  "crystal_system": "hexagonal",
  "e_above_lowest_polymorph_ev_per_atom": 0.543,
  "ef_ev_per_fu": 4.28,
  "lattice": [[2.825, -4.893, 0.000], [2.825, 4.893, 0.000], [0.000, 0.000, 4.483]],
  "species": ["Ta", "Ta", "Ta", "Ta", "Ta", "Ag"],
  "fractional_positions": [[0.000, 0.500, 0.500], [0.333, 0.667, 0.000], [0.500, 0.000, 0.500], [0.500, 0.500, 0.500], [0.667, 0.333, 0.000], [0.000, 0.000, 0.000]]
}

Record 6
{
  "formula": "Er2TmSc3Sb6",
  "functional": "PBE-GGA",
  "state": "optimized geometry",
  "crystal_system": "monoclinic",
  "e_form_raw_mev_per_atom": -1007,
  "lattice": [[-3.040, 3.328, -5.840], [-4.155, -4.163, 4.453], [0.999, 5.849, 4.365]],
  "species": ["Er", "Er", "Tm", "Sc", "Sc", "Sc", "Sb", "Sb", "Sb", "Sb", "Sb", "Sb"],
  "fractional_positions": [[0.334, 0.666, 0.000], [0.666, 0.334, 0.000], [0.000, 0.000, 0.000], [0.167, 0.833, 0.500], [0.833, 0.167, 0.500], [0.500, 0.500, 0.500], [0.913, 0.580, 0.738], [0.755, 0.755, 0.263], [0.087, 0.420, 0.262], [0.580, 0.913, 0.738], [0.245, 0.245, 0.737], [0.420, 0.087, 0.262]]
}

Record 7
{
  "formula": "Sn2Bi2Au3",
  "functional": "PBE-GGA",
  "state": "optimized geometry",
  "crystal_system": "monoclinic",
  "ef_ev_per_fu": -0.66,
  "lattice": [[4.326, 0.000, -1.162], [-0.114, 6.009, -0.425], [-0.361, 0.291, 7.289]],
  "species": ["Sn", "Sn", "Bi", "Bi", "Au", "Au", "Au"],
  "fractional_positions": [[0.455, 0.274, 0.909], [0.545, 0.726, 0.091], [0.198, 0.263, 0.396], [0.802, 0.737, 0.604], [0.000, 0.000, 0.000], [0.171, 0.745, 0.342], [0.829, 0.255, 0.658]]
}

| no. | raw total energy (eV per atom) |
| --- | --- |
| 1 | -6.914 |
| 2 | -4.613 |
| 3 | -2.022 |
| 4 | -8.013 |
| 5 | -9.639 |
| 6 | -5.784 |
| 7 | -3.752 |